Entry 1:
Entry from Alexandria via LeMat-Bulk: a relaxed structure of SiNiRu2 (PBE).

Calculated values
- volume (Å³ per cell) = 52.5
- space-group type = No. 12
- formation energy without anion corrections (eV per formula unit) = 0.20
- final energy (eV per atom) = -7.388

The structure in POSCAR format:
```
SiNiRu2
1.0
-4.437 -1.580 1.319
2.744 -3.023 -2.310
0.496 -1.567 2.158
Ru Si Ni
2 1 1
Cartesian
0.000 0.000 0.000
1.620 -2.295 -0.076
-0.846 -2.301 -0.495
-1.971 -1.573 1.739
```

---

Entry 2:
Entry from Alexandria via LeMat-Bulk: a relaxed structure of SiNiRu2 (PBE).

Calculated values
- volume (Å³ per cell) = 52.2
- space-group type = No. 10
- formation energy without anion corrections (eV per formula unit) = -0.60
- final energy (eV per atom) = -7.588

The structure in POSCAR format:
```
SiNiRu2
1.0
-0.665 -0.330 -3.660
2.576 -0.959 -0.381
0.036 -5.336 0.475
Ru Si Ni
2 1 1
Cartesian
0.988 -2.997 0.091
0.318 -0.151 -0.044
0.321 -1.739 -1.807
1.626 -4.886 -1.760
```

---

Entry 3:
Entry from Alexandria via LeMat-Bulk: a relaxed structure of SiNi6Ru (PBE).

Calculated values
- volume (Å³ per cell) = 361.3
- space-group type = No. 65
- formation energy without anion corrections (eV per formula unit) = -1.04
- final energy (eV per atom) = -6.303

The structure in POSCAR format:
```
SiNi6Ru
1.0
-0.593 -4.488 4.188
5.537 2.655 0.579
-3.861 6.624 6.552
Ni Si Ru
24 4 4
Cartesian
1.455 0.261 6.481
2.976 2.034 5.586
-0.961 1.158 4.151
0.154 7.447 8.005
2.453 -1.452 4.787
3.974 0.321 3.891
-0.965 1.656 1.638
2.044 4.204 4.797
-2.892 3.898 9.798
0.493 1.892 8.130
-1.002 0.655 6.590
-1.945 2.797 5.778
0.560 2.930 3.256
0.037 -0.556 2.457
-0.401 4.596 4.869
-2.895 4.968 4.914
-2.886 4.411 7.375
-0.447 3.506 9.726
1.097 5.305 8.817
-1.341 6.210 6.465
1.558 1.217 1.561
2.038 3.692 7.220
-0.424 4.051 7.298
1.506 0.739 4.021
-1.983 2.234 8.215
1.135 5.868 6.380
0.533 2.409 5.674
-1.381 5.693 8.921
-0.047 -1.071 4.936
-1.930 3.311 3.275
-0.001 0.001 0.001
3.059 2.549 3.107
```

---

Entry 4:
Entry from Alexandria via LeMat-Bulk: a relaxed structure of Si2NiRu (PBE).

Calculated values
- volume (Å³ per cell) = 50.2
- space-group type = No. 25
- formation energy without anion corrections (eV per formula unit) = -1.68
- final energy (eV per atom) = -6.896

The structure in POSCAR format:
```
Si2NiRu
1.0
4.373 0.000 0.000
0.000 2.829 0.002
0.000 -0.003 4.056
Si Ni Ru
2 1 1
Cartesian
2.186 1.061 0.970
0.000 2.475 0.091
0.000 1.059 2.021
2.186 2.473 3.008
```

---

Entry 5:
Entry from Alexandria via LeMat-Bulk: a relaxed structure of SiNiRu3 (PBE).

Calculated values
- volume (Å³ per cell) = 81.9
- space-group type = No. 221
- formation energy without anion corrections (eV per formula unit) = 4.82
- final energy (eV per atom) = -6.842

The structure in POSCAR format:
```
SiNiRu3
1.0
-2.334 3.659 0.136
-2.978 -1.804 -2.594
-2.129 -1.488 3.479
Ni Ru Si
1 3 1
Cartesian
-3.721 0.183 0.510
-1.065 -0.744 1.740
-1.489 -0.902 -1.297
-1.167 1.829 0.068
0.000 0.000 0.000
```

---

Entry 6:
Entry from Alexandria via LeMat-Bulk: a relaxed structure of SiNiRu (PBE).

Calculated values
- volume (Å³ per cell) = 37.9
- space-group type = No. 156
- formation energy without anion corrections (eV per formula unit) = -0.56
- final energy (eV per atom) = -7.015

The structure in POSCAR format:
```
SiNiRu
1.0
-1.186 -2.442 0.421
1.609 0.386 -2.193
4.610 -1.707 3.082
Ni Si Ru
1 1 1
Cartesian
4.491 -1.663 3.003
3.782 -1.706 0.754
1.370 -2.101 0.636
```

---

Entry 7:
Entry from Alexandria via LeMat-Bulk: a relaxed structure of Si2NiRu (PBE).

Calculated values
- volume (Å³ per cell) = 48.7
- space-group type = No. 123
- formation energy without anion corrections (eV per formula unit) = -1.48
- final energy (eV per atom) = -6.846

The structure in POSCAR format:
```
Si2NiRu
1.0
-3.971 -0.430 0.705
0.742 -0.340 3.973
-0.265 2.936 0.301
Si Ru Ni
2 1 1
Cartesian
0.000 0.000 0.000
-1.614 -0.385 2.339
0.239 1.298 2.137
-2.118 1.253 0.503
```

---

Entry 8:
Entry from Alexandria via LeMat-Bulk: a relaxed structure of Si2NiRu (PBE).

Calculated values
- volume (Å³ per cell) = 50.3
- space-group type = No. 99
- formation energy without anion corrections (eV per formula unit) = -2.00
- final energy (eV per atom) = -6.975

The structure in POSCAR format:
```
Si2NiRu
1.0
3.143 0.000 0.000
0.000 3.143 0.000
0.000 0.000 5.095
Si Ni Ru
2 1 1
Cartesian
0.000 0.000 5.027
1.571 1.571 1.452
0.000 0.000 2.238
1.571 1.571 4.019
```